This record from the Alexandria database describes KTlIn2Tc after structural relaxation. The functional is GGA-PBE.

Output
DFT formation energy, kJ/mol of formula units: 32
Raw total energy, eV/f.u.: -19.0
Total magnetic moment, Bohr magnetons per cell: 0.0

a b c (Å): 5.2798 5.2798 5.3814
angles (deg): 90.00 90.00 90.00
Atoms (fractional coordinates):
K (0.5000, 0.5000, 0.5000)
Tl (0.0000, 0.0000, 0.5000)
Tc (0.0000, 0.0000, 0.0000)
In (0.0000, 0.5000, 0.0000)
In (0.5000, 0.0000, 0.0000)

---

This record from the Alexandria database describes KZrInTc2 after structural relaxation. The functional is GGA-PBE.

Output
DFT formation energy, kJ/mol of formula units: 752
Raw total energy, eV/f.u.: -25.3
Total magnetic moment, Bohr magnetons per cell: 2.7

a b c (Å): 4.8994 5.8030 4.8994
angles (deg): 90.00 90.00 90.00
Each line ends with the local moment (μB).
Atoms (fractional coordinates):
K (0.0000, 0.5000, 0.0000)  -0.02
Tc (0.0000, 0.0000, 0.5000)  1.26
Tc (0.5000, 0.0000, 0.0000)  1.46
Zr (0.0000, 0.0000, 0.0000)  -0.22
In (0.5000, 0.5000, 0.5000)  0.00

---

Density of states at the Fermi level across the listed records, respectively: 3.8, 5.0 states/eV/f.u..